Pu2Ge3Pd: relaxed, PBE-GGA.

Cell: 10.529 4.428 6.825 Å, 90.00 129.73 90.00°
Space group Cm (No. 8)
Unique sites:
Pu 0.000 0.000 0.000 (multiplicity 2)
Pu 0.102 0.000 0.620 (multiplicity 2)
Ge 0.186 0.500 0.408 (multiplicity 2)
Ge 0.228 0.500 0.049 (multiplicity 2)
Ge 0.382 0.000 0.596 (multiplicity 2)
Pd 0.381 0.000 0.210 (multiplicity 2)

formation energy from the elements: -0.486 eV/atom
DFT total energy: -8.438 eV/atom
ΔE to the lowest computed polymorph: 0.00 eV/f.u.
total moment: 1.813 μB per atom
density of states at the Fermi level: 18.5 states/eV/f.u.